! ErNiGe2Ru (PBE-GGA, optimized geometry); values from VASP
! - density of states at the Fermi level (states/eV/f.u.) = 2.22
! - E_form (meV per atom) = -631
&SYSTEM
  ibrav = 0, nat = 5, ntyp = 4
/
ATOMIC_SPECIES
Ge 72.64 Ge.upf
Ni 58.69 Ni.upf
Er 167.26 Er.upf
Ru 101.07 Ru.upf
CELL_PARAMETERS angstrom
-2.875 -2.732 0.665
2.809 -2.747 0.859
-0.134 4.136 4.254
ATOMIC_POSITIONS angstrom
Ge -0.127 1.057 3.794
Ge -0.074 -2.399 1.984
Ni 1.321 -0.675 2.937
Er 0.000 0.000 0.000
Ru -1.521 -0.668 2.840